# PBE SrScPb2, optimized geometry
data_SrScPb2
_chemical_formula_sum 'Sr3 Sc3 Pb6'
_symmetry_space_group_name_H-M 'R 3 m'
_symmetry_Int_Tables_number 160
_symmetry_space_group_name_Hall 'R 3 -2"'
_cell_length_a 3.6606
_cell_length_b 3.6606
_cell_length_c 33.2816
_cell_angle_alpha 90.00
_cell_angle_beta 90.00
_cell_angle_gamma 120.00
loop_
_atom_site_label
_atom_site_type_symbol
_atom_site_fract_x
_atom_site_fract_y
_atom_site_fract_z
Sr1 Sr 0.0000 0.0000 0.0000
Sc1 Sc 0.0000 0.0000 0.2414
Pb1 Pb 0.0000 0.0000 0.5025
Pb2 Pb 0.0000 0.0000 0.7553
# E (eV/cell): -45.35
# Formation energy (eV/atom): 0.079
# Fermi-level density of states (states/eV per cell): 17.10


# PBE Pm6PrSm8, optimized geometry
data_Pm6PrSm8
_chemical_formula_sum 'Pm18 Pr3 Sm24'
_symmetry_space_group_name_H-M 'R -3'
_symmetry_Int_Tables_number 148
_symmetry_space_group_name_Hall '-R 3'
_cell_length_a 9.4010
_cell_length_b 9.4010
_cell_length_c 20.3558
_cell_angle_alpha 90.00
_cell_angle_beta 90.00
_cell_angle_gamma 120.00
loop_
_atom_site_label
_atom_site_type_symbol
_atom_site_fract_x
_atom_site_fract_y
_atom_site_fract_z
Pm1 Pm 0.0446 0.7987 0.1914
Pr1 Pr 0.0000 0.0000 0.5000
Sm1 Sm 0.0000 0.0000 0.0713
Sm2 Sm 0.0652 0.8190 0.6626
# E (eV/cell): -206.42
# Formation energy (eV/atom): 0.149
# Fermi-level density of states (states/eV per cell): 66.02


# PBE RePt2CO, optimized geometry
data_RePt2CO
_chemical_formula_sum 'Re1 Pt2 C1 O1'
_symmetry_space_group_name_H-M 'P 4/m m m'
_symmetry_Int_Tables_number 123
_symmetry_space_group_name_Hall '-P 4 2'
_cell_length_a 4.1517
_cell_length_b 4.1517
_cell_length_c 3.9036
_cell_angle_alpha 90.00
_cell_angle_beta 90.00
_cell_angle_gamma 90.00
loop_
_atom_site_label
_atom_site_type_symbol
_atom_site_fract_x
_atom_site_fract_y
_atom_site_fract_z
Re1 Re 0.0000 0.0000 0.0000
Pt1 Pt 0.0000 0.5000 0.5000
C1 C 0.5000 0.5000 0.0000
O1 O 0.5000 0.5000 0.5000
# E (eV/cell): -29.80
# Fermi-level density of states (states/eV per cell): 4.59


# PBE ScTaAs, optimized geometry
data_ScTaAs
_chemical_formula_sum 'Sc1 Ta1 As1'
_symmetry_space_group_name_H-M 'P 3 m 1'
_symmetry_Int_Tables_number 156
_cell_length_a 3.4294
_cell_length_b 3.4294
_cell_length_c 5.8722
_cell_angle_alpha 90.00
_cell_angle_beta 90.00
_cell_angle_gamma 120.00
loop_
_symmetry_equiv_pos_as_xyz
'x,y,z'
'-y,x-y,z'
'-x+y,-x,z'
'-y,-x,z'
'-x+y,y,z'
'x,x-y,z'
loop_
_atom_site_label
_atom_site_type_symbol
_atom_site_fract_x
_atom_site_fract_y
_atom_site_fract_z
Sc1 Sc 0.0000 0.0000 0.0000
Ta1 Ta 0.6667 0.3333 0.3986
As1 As 0.3333 0.6667 0.6813
# E (eV/cell): -23.92
# Formation energy (eV/atom): -0.362
# Fermi-level density of states (states/eV per cell): 3.06


# PBE Pr2ThSb, optimized geometry
data_Pr2ThSb
_chemical_formula_sum 'Pr2 Th1 Sb1'
_symmetry_space_group_name_H-M 'P 4/m m m'
_symmetry_Int_Tables_number 123
_symmetry_space_group_name_Hall '-P 4 2'
_cell_length_a 4.0473
_cell_length_b 4.0473
_cell_length_c 7.6502
_cell_angle_alpha 90.00
_cell_angle_beta 90.00
_cell_angle_gamma 90.00
loop_
_atom_site_label
_atom_site_type_symbol
_atom_site_fract_x
_atom_site_fract_y
_atom_site_fract_z
Pr1 Pr 0.0000 0.0000 0.2198
Th1 Th 0.5000 0.5000 0.5000
Sb1 Sb 0.5000 0.5000 0.0000
# E (eV/cell): -23.03
# Fermi-level density of states (states/eV per cell): 3.46
# ΔE to the lowest computed polymorph (meV/atom): 0


# PBE Li2Hg5F12, optimized geometry
data_Li2Hg5F12
_chemical_formula_sum 'Li4 Hg10 F24'
_symmetry_space_group_name_H-M 'C 1 2/m 1'
_symmetry_Int_Tables_number 12
_cell_length_a 12.9344
_cell_length_b 6.0633
_cell_length_c 7.3440
_cell_angle_alpha 90.00
_cell_angle_beta 105.93
_cell_angle_gamma 90.00
loop_
_symmetry_equiv_pos_as_xyz
'x,y,z'
'-x,-y,-z'
'-x,y,-z'
'x,-y,z'
'x+1/2,y+1/2,z'
'-x+1/2,-y+1/2,-z'
'-x+1/2,y+1/2,-z'
'x+1/2,-y+1/2,z'
loop_
_atom_site_label
_atom_site_type_symbol
_atom_site_fract_x
_atom_site_fract_y
_atom_site_fract_z
Li1 Li 0.0000 0.2375 0.0000
Hg1 Hg 0.0000 0.0000 0.5000
Hg2 Hg 0.1824 0.5000 0.3439
Hg3 Hg 0.1897 0.5000 0.8449
F1 F 0.0025 0.0000 0.7917
F2 F 0.0053 0.5000 0.8125
F3 F 0.1593 0.2513 0.5768
F4 F 0.1638 0.2525 0.0881
# E (eV/cell): -121.64


# PBE YNb2W, optimized geometry
data_YNb2W
_chemical_formula_sum 'Y4 Nb8 W4'
_symmetry_space_group_name_H-M 'I -4 2 d'
_symmetry_Int_Tables_number 122
_symmetry_space_group_name_Hall 'I -4 2bw'
_cell_length_a 7.6316
_cell_length_b 7.6316
_cell_length_c 5.9568
_cell_angle_alpha 90.00
_cell_angle_beta 90.00
_cell_angle_gamma 90.00
loop_
_atom_site_label
_atom_site_type_symbol
_atom_site_fract_x
_atom_site_fract_y
_atom_site_fract_z
Y1 Y 0.0000 0.0000 0.0000
Nb1 Nb 0.2086 0.7500 0.6250
W1 W 0.0000 0.0000 0.5000
# E (eV/cell): -146.23
# Formation energy (eV/atom): 0.750
# Fermi-level density of states (states/eV per cell): 20.38
# ΔE to the lowest computed polymorph (meV/atom): 406


# PBE BHF, optimized geometry
data_BHF
_chemical_formula_sum 'B2 H2 F2'
_symmetry_space_group_name_H-M 'P 1'
_symmetry_Int_Tables_number 1
_cell_length_a 3.0973
_cell_length_b 3.4441
_cell_length_c 7.2061
_cell_angle_alpha 89.89
_cell_angle_beta 89.79
_cell_angle_gamma 63.28
loop_
_symmetry_equiv_pos_as_xyz
'x,y,z'
loop_
_atom_site_label
_atom_site_type_symbol
_atom_site_fract_x
_atom_site_fract_y
_atom_site_fract_z
B1 B 0.0000 0.0000 0.0000
B2 B 0.3751 0.2497 0.0001
H1 H 0.4068 0.1641 0.5004
H2 H 0.5491 0.9214 0.5001
F1 F 0.1865 0.6246 0.1535
F2 F 0.1889 0.6251 0.8466
# E (eV/cell): -28.82
# ΔE to the lowest computed polymorph (meV/atom): 305


# PBE Ca3Ge5Ir6, optimized geometry
data_Ca3Ge5Ir6
_chemical_formula_sum 'Ca6 Ge10 Ir12'
_symmetry_space_group_name_H-M 'P m m n'
_symmetry_Int_Tables_number 59
_cell_length_a 4.0839
_cell_length_b 12.7968
_cell_length_c 9.8857
_cell_angle_alpha 90.00
_cell_angle_beta 90.00
_cell_angle_gamma 90.00
loop_
_symmetry_equiv_pos_as_xyz
'x,y,z'
'-x,-y,-z'
'-x+1/2,-y+1/2,z'
'x+1/2,y+1/2,-z'
'x+1/2,-y,-z'
'-x+1/2,y,z'
'-x,y+1/2,-z'
'x,-y+1/2,z'
loop_
_atom_site_label
_atom_site_type_symbol
_atom_site_fract_x
_atom_site_fract_y
_atom_site_fract_z
Ca1 Ca 0.2500 0.0926 0.2493
Ca2 Ca 0.2500 0.7500 0.2580
Ge1 Ge 0.2500 0.0764 0.8476
Ge2 Ge 0.2500 0.6282 0.5186
Ge3 Ge 0.2500 0.7500 0.8860
Ir1 Ir 0.2500 0.0525 0.5996
Ir2 Ir 0.2500 0.2500 0.4955
Ir3 Ir 0.2500 0.2500 0.9768
Ir4 Ir 0.2500 0.5805 0.0096
# E (eV/cell): -181.47
# Formation energy (eV/atom): -0.606
# Fermi-level density of states (states/eV per cell): 8.11


# PBE AsPd2Au, optimized geometry
data_AsPd2Au
_chemical_formula_sum 'As1 Pd2 Au1'
_symmetry_space_group_name_H-M 'P 4/m m m'
_symmetry_Int_Tables_number 123
_symmetry_space_group_name_Hall '-P 4 2'
_cell_length_a 4.7010
_cell_length_b 4.7010
_cell_length_c 2.9922
_cell_angle_alpha 90.00
_cell_angle_beta 90.00
_cell_angle_gamma 90.00
loop_
_atom_site_label
_atom_site_type_symbol
_atom_site_fract_x
_atom_site_fract_y
_atom_site_fract_z
As1 As 0.0000 0.0000 0.0000
Pd1 Pd 0.0000 0.5000 0.5000
Au1 Au 0.5000 0.5000 0.0000
# E (eV/cell): -18.79
# Formation energy (eV/atom): -0.118
# Fermi-level density of states (states/eV per cell): 1.51


# PBE HPt4, optimized geometry
data_HPt4
_chemical_formula_sum 'H4 Pt16'
_symmetry_space_group_name_H-M 'C 1 2/c 1'
_symmetry_Int_Tables_number 15
_cell_length_a 8.9387
_cell_length_b 4.1329
_cell_length_c 8.1132
_cell_angle_alpha 90.00
_cell_angle_beta 117.40
_cell_angle_gamma 90.00
loop_
_symmetry_equiv_pos_as_xyz
'x,y,z'
'-x,-y,-z'
'-x,y,-z+1/2'
'x,-y,z+1/2'
'x+1/2,y+1/2,z'
'-x+1/2,-y+1/2,-z'
'-x+1/2,y+1/2,-z+1/2'
'x+1/2,-y+1/2,z+1/2'
loop_
_atom_site_label
_atom_site_type_symbol
_atom_site_fract_x
_atom_site_fract_y
_atom_site_fract_z
H1 H 0.0000 0.2364 0.2500
Pt1 Pt 0.1279 0.4900 0.9442
Pt2 Pt 0.1301 0.0231 0.6836
# E (eV/cell): -108.79
# Fermi-level density of states (states/eV per cell): 33.55
# ΔE to the lowest computed polymorph (meV/atom): 0


# PBE Nd2SnS, optimized geometry
data_Nd2SnS
_chemical_formula_sum 'Nd6 Sn3 S3'
_symmetry_space_group_name_H-M 'R 3 m'
_symmetry_Int_Tables_number 160
_symmetry_space_group_name_Hall 'R 3 -2"'
_cell_length_a 3.9492
_cell_length_b 3.9492
_cell_length_c 24.7232
_cell_angle_alpha 90.00
_cell_angle_beta 90.00
_cell_angle_gamma 120.00
loop_
_atom_site_label
_atom_site_type_symbol
_atom_site_fract_x
_atom_site_fract_y
_atom_site_fract_z
Nd1 Nd 0.0000 0.0000 0.0000
Nd2 Nd 0.0000 0.0000 0.1966
Sn1 Sn 0.0000 0.0000 0.4309
S1 S 0.0000 0.0000 0.5990
# E (eV/cell): -68.33
# Fermi-level density of states (states/eV per cell): 8.25
# ΔE to the lowest computed polymorph (meV/atom): 78


Magnetization: 0.49; 0.00; 1.02; 0.00; 0.00; 0.00; 0.00; 0.00; 0.00; 0.00; 0.00; 0.00 (μB/f.u.)
Theoretical density: 7.06; 7.08; 14.92; 8.35; 8.42; 7.46; 8.78; 1.49; 10.52; 12.17; 19.50; 6.55 (g/cm³)